Crystalline CrCo2IrF at its relaxed geometry, computed with PBE with a Hubbard U.

* final energy: -4.417 eV per atom
* symmetry: No. 123
* total magnetic moment: 4.447 μB/f.u.

Cell: 4.783 4.041 4.783 Å, 90.00 90.00 90.00°
Last column: magnetic moment on the atom in μB.
Atoms (fractional coordinates):
Cr 0.500 0.500 0.500  -0.67
Ir 0.000 0.000 0.000  0.50
Co 0.000 0.000 0.500  2.51
Co 0.500 0.000 0.000  2.28
F 0.000 0.500 0.000  0.01

=====

Crystalline K2CrCoF6 at its relaxed geometry, computed with PBE with a Hubbard U.

* final energy: -5.160 eV per atom
* symmetry: No. 139
* total magnetic moment: 7.000 μB/f.u.

Cell: 5.949 5.950 8.296 Å, 90.00 90.00 90.00°
Last column: magnetic moment on the atom in μB.
Atoms (fractional coordinates):
K 0.500 0.750 0.250  0.00
K 0.000 0.250 0.750  0.00
K 0.500 0.750 0.750  0.00
K 0.000 0.250 0.250  0.00
Cr 0.500 0.250 0.500  3.84
Cr 0.000 0.750 0.000  3.84
Co 0.000 0.750 0.500  2.78
Co 0.500 0.250 0.000  2.78
F 0.500 0.250 0.258  0.02
F 0.500 0.250 0.742  0.02
F 0.000 0.750 0.242  0.02
F 0.000 0.750 0.758  0.02
F 0.240 0.989 0.500  0.04
F 0.760 0.989 0.500  0.04
F 0.240 0.510 0.500  0.04
F 0.760 0.510 0.500  0.04
F 0.740 0.490 0.000  0.04
F 0.260 0.490 0.000  0.04
F 0.260 0.011 0.000  0.04
F 0.740 0.011 0.000  0.04

=====

Crystalline KCrCoF6 at its relaxed geometry, computed with PBE with a Hubbard U.

* final energy: -5.356 eV per atom
* symmetry: No. 74
* total magnetic moment: 6.000 μB/f.u.

Cell: 7.395 7.248 7.393 Å, 119.36 120.01 90.00°
Last column: magnetic moment on the atom in μB.
Atoms (fractional coordinates):
K 0.843 0.593 0.687  0.00
K 0.157 0.407 0.313  0.00
Cr 0.500 0.000 0.500  2.96
Cr 0.000 0.000 0.500  2.96
Co 0.500 0.500 0.000  2.79
Co 0.500 0.000 0.000  2.79
F 0.420 0.670 0.839  0.06
F 0.812 0.062 0.624  -0.01
F 0.833 0.072 0.257  0.02
F 0.424 0.684 0.257  0.02
F 0.424 0.072 0.257  0.02
F 0.833 0.684 0.257  0.02
F 0.580 0.330 0.161  0.06
F 0.188 0.938 0.376  -0.01
F 0.167 0.928 0.743  0.02
F 0.576 0.316 0.743  0.02
F 0.576 0.928 0.743  0.02
F 0.167 0.316 0.743  0.02

=====

Crystalline LiCrCoF6 at its relaxed geometry, computed with PBE with a Hubbard U.

* final energy: -5.224 eV per atom
* symmetry: No. 102
* total magnetic moment: 4.007 μB/f.u.

Cell: 4.725 4.725 9.297 Å, 90.00 90.00 90.00°
Last column: magnetic moment on the atom in μB.
Atoms (fractional coordinates):
Li 0.500 0.500 0.500  0.00
Li 0.000 0.000 0.000  0.00
Cr 0.500 0.500 0.833  0.97
Cr 0.000 0.000 0.333  0.97
Co 0.500 0.500 0.167  2.79
Co 0.000 0.000 0.667  2.79
F 0.193 0.807 0.493  0.03
F 0.807 0.193 0.493  0.03
F 0.307 0.307 0.993  0.03
F 0.693 0.693 0.993  0.03
F 0.194 0.806 0.174  0.03
F 0.806 0.194 0.174  0.03
F 0.306 0.306 0.674  0.03
F 0.694 0.694 0.674  0.03
F 0.793 0.207 0.833  0.04
F 0.207 0.793 0.833  0.04
F 0.707 0.707 0.333  0.04
F 0.293 0.293 0.333  0.04

=====

Crystalline MgCrCoF6 at its relaxed geometry, computed with PBE with a Hubbard U.

* final energy: -5.443 eV per atom
* symmetry: No. 163
* total magnetic moment: 7.069 μB/f.u.

Cell: 5.272 5.272 8.982 Å, 90.00 90.00 120.00°
Last column: magnetic moment on the atom in μB.
Atoms (fractional coordinates):
Mg 0.000 0.000 0.000  0.01
Mg 0.000 0.000 0.500  0.01
Cr 0.667 0.333 0.250  3.87
Cr 0.333 0.667 0.750  3.87
Co 0.333 0.667 0.250  2.81
Co 0.667 0.333 0.750  2.81
F 0.671 0.682 0.127  0.03
F 0.012 0.329 0.127  0.03
F 0.329 0.012 0.627  0.03
F 0.988 0.671 0.873  0.03
F 0.318 0.329 0.373  0.03
F 0.012 0.682 0.373  0.03
F 0.682 0.012 0.873  0.03
F 0.671 0.988 0.373  0.03
F 0.988 0.318 0.627  0.03
F 0.318 0.988 0.127  0.03
F 0.682 0.671 0.627  0.03
F 0.329 0.318 0.873  0.03

=====

Crystalline CrCoNF6 at its relaxed geometry, computed with PBE with a Hubbard U.

* final energy: -5.252 eV per atom
* symmetry: No. 74
* total magnetic moment: 4.248 μB/f.u.

Cell: 7.342 7.342 7.342 Å, 119.33 120.04 90.54°
Last column: magnetic moment on the atom in μB.
Atoms (fractional coordinates):
Cr 0.000 0.000 0.000  2.95
Cr 0.500 0.000 0.500  2.95
F 0.314 0.064 0.250  0.00
F 0.799 0.549 0.250  -0.18
F 0.313 0.689 0.254  0.03
F 0.935 0.060 0.246  0.03
F 0.313 0.060 0.625  0.03
F 0.935 0.689 0.875  0.03
F 0.686 0.936 0.750  0.00
F 0.201 0.451 0.750  -0.18
F 0.687 0.311 0.746  0.03
F 0.065 0.940 0.754  0.03
F 0.687 0.940 0.375  0.03
F 0.065 0.311 0.125  0.03
Co 0.000 0.000 0.500  2.30
Co 0.000 0.500 0.000  2.30
N 0.928 0.678 0.250  -0.76
N 0.072 0.322 0.750  -0.76

=====

Crystalline Na2CrCoF7 at its relaxed geometry, computed with PBE with a Hubbard U.

* final energy: -5.097 eV per atom
* symmetry: No. 15
* total magnetic moment: 4.000 μB/f.u.

Cell: 7.387 7.387 24.761 Å, 81.62 81.62 60.46°
Last column: magnetic moment on the atom in μB.
Atoms (fractional coordinates):
Na 0.793 0.703 0.248  0.00
Na 0.297 0.207 0.252  0.00
Na 0.134 0.120 0.122  0.00
Na 0.500 0.500 0.000  0.00
Na 0.215 0.785 0.750  0.00
Na 0.866 0.880 0.878  0.00
Na 0.880 0.866 0.378  0.00
Na 0.500 0.000 0.000  0.00
Na 0.120 0.134 0.622  0.00
Na 0.785 0.215 0.250  0.00
Na 0.000 0.000 0.500  0.00
Na 0.000 0.000 0.000  0.00
Na 0.703 0.793 0.748  0.00
Na 0.500 0.500 0.500  0.00
Na 0.207 0.297 0.752  0.00
Na 0.000 0.500 0.500  0.00
Cr 0.635 0.113 0.125  1.00
Cr 0.887 0.365 0.375  1.00
Cr 0.246 0.754 0.250  1.00
Cr 0.113 0.635 0.625  1.00
Cr 0.000 0.500 0.000  1.00
Cr 0.365 0.887 0.875  1.00
Cr 0.500 0.000 0.500  1.00
Cr 0.754 0.246 0.750  1.00
Co 0.615 0.630 0.628  2.78
Co 0.370 0.385 0.872  2.78
Co 0.630 0.615 0.128  2.78
Co 0.386 0.866 0.374  2.78
Co 0.134 0.614 0.126  2.78
Co 0.614 0.134 0.626  2.78
Co 0.866 0.386 0.874  2.78
Co 0.385 0.370 0.372  2.78
F 0.137 0.028 0.210  0.00
F 0.926 0.536 0.611  0.02
F 0.459 0.094 0.346  0.06
F 0.136 0.581 0.045  0.02
F 0.207 0.132 0.531  0.01
F 0.963 0.364 0.295  0.01
F 0.363 0.817 0.955  0.01
F 0.302 0.338 0.640  0.02
F 0.094 0.459 0.846  0.06
F 0.864 0.419 0.955  0.02
F 0.419 0.864 0.455  0.02
F 0.541 0.906 0.654  0.06
F 0.028 0.137 0.710  0.00
F 0.817 0.363 0.455  0.01
F 0.306 0.643 0.401  0.06
F 0.972 0.863 0.290  0.00
F 0.641 0.523 0.709  0.03
F 0.359 0.477 0.291  0.03
F 0.864 0.359 0.794  0.02
F 0.932 0.926 0.110  0.02
F 0.464 0.074 0.889  0.02
F 0.694 0.357 0.599  0.06
F 0.863 0.972 0.790  0.00
F 0.257 0.420 0.953  0.02
F 0.581 0.136 0.545  0.02
F 0.338 0.302 0.140  0.02
F 0.357 0.694 0.099  0.06
F 0.641 0.136 0.706  0.02
F 0.643 0.306 0.901  0.06
F 0.270 0.698 0.860  0.02
F 0.523 0.641 0.209  0.03
F 0.698 0.270 0.360  0.02
F 0.068 0.074 0.890  0.02
F 0.793 0.868 0.469  0.01
F 0.730 0.302 0.140  0.02
F 0.364 0.963 0.795  0.01
F 0.074 0.068 0.390  0.02
F 0.698 0.662 0.360  0.02
F 0.302 0.730 0.640  0.02
F 0.074 0.464 0.389  0.02
F 0.580 0.743 0.547  0.02
F 0.136 0.641 0.206  0.02
F 0.906 0.541 0.154  0.06
F 0.037 0.636 0.705  0.01
F 0.477 0.359 0.791  0.03
F 0.359 0.864 0.294  0.02
F 0.743 0.580 0.047  0.02
F 0.183 0.637 0.545  0.01
F 0.536 0.926 0.111  0.02
F 0.868 0.793 0.969  0.01
F 0.926 0.932 0.610  0.02
F 0.636 0.037 0.205  0.01
F 0.420 0.257 0.453  0.02
F 0.662 0.698 0.860  0.02
F 0.637 0.183 0.045  0.01
F 0.132 0.207 0.031  0.01

=====

Crystalline NaCr2CoF8 at its relaxed geometry, computed with PBE with a Hubbard U.

* final energy: -5.574 eV per atom
* symmetry: No. 10
* total magnetic moment: 10.000 μB/f.u.

Cell: 4.848 4.794 6.606 Å, 90.03 90.03 88.18°
Last column: magnetic moment on the atom in μB.
Atoms (fractional coordinates):
Na 0.000 0.000 0.500  0.00
Cr 0.500 0.500 0.753  3.43
Cr 0.500 0.500 0.247  3.43
Co 0.000 0.000 0.000  2.80
F 0.205 0.793 0.229  0.02
F 0.690 0.695 0.000  0.01
F 0.795 0.208 0.229  0.02
F 0.795 0.207 0.771  0.02
F 0.310 0.305 0.000  0.01
F 0.205 0.792 0.771  0.02
F 0.672 0.677 0.500  -0.02
F 0.328 0.323 0.500  -0.02

=====

Crystalline NaCrCo2F8 at its relaxed geometry, computed with PBE with a Hubbard U.

* final energy: -5.275 eV per atom
* symmetry: No. 10
* total magnetic moment: 9.000 μB/f.u.

Cell: 4.827 4.792 6.478 Å, 90.00 90.00 89.49°
Last column: magnetic moment on the atom in μB.
Atoms (fractional coordinates):
Na 0.000 0.000 0.500  0.00
Cr 0.000 0.000 0.000  2.98
Co 0.500 0.500 0.748  2.79
Co 0.500 0.500 0.252  2.79
F 0.197 0.799 0.217  0.02
F 0.705 0.709 0.000  0.03
F 0.803 0.201 0.217  0.02
F 0.803 0.201 0.783  0.02
F 0.295 0.291 0.000  0.03
F 0.197 0.799 0.783  0.02
F 0.682 0.681 0.500  0.07
F 0.318 0.319 0.500  0.07

=====

> The highest final energy belongs to which entry?

CrCo2IrF

=====

> Which of these has the lowest total magnetic moment?

Na2CrCoF7

=====

> The highest final energy belongs to which entry?

CrCo2IrF